Entry 1:
Compound: K2TiInTe5
Source: the Alexandria database
Functional: PBE
Structure: relaxed

Unit cell a=4.106 b=10.840 c=15.137 alpha=90.00 beta=90.00 gamma=100.92
Element x y z (fractional)
Te: 0.075 0.149 0.055
Te: 0.339 0.677 0.009
Te: 0.925 0.851 0.555
Te: 0.661 0.323 0.509
Te: 0.499 0.999 0.773
Te: 0.706 0.412 0.141
Te: 0.294 0.588 0.641
Te: 0.301 0.601 0.386
Te: 0.501 0.001 0.273
Te: 0.699 0.399 0.886
K: 0.865 0.731 0.817
K: 0.135 0.269 0.317
K: 0.126 0.253 0.694
K: 0.874 0.747 0.194
In: 0.566 0.132 0.928
In: 0.434 0.868 0.428
Ti: 0.784 0.567 0.519
Ti: 0.216 0.433 0.019

* calculated volume: 661.5 Å³ per cell
* ΔE_f (raw): -0.64 eV/atom
* raw total energy: -3.808 eV per atom


Entry 2:
Compound: Ba2HgBr
Source: the Alexandria database
Functional: PBE
Structure: relaxed

Unit cell a=4.893 b=4.888 c=6.994 alpha=90.00 beta=90.00 gamma=90.00
Element x y z (fractional)
Ba: 0.000 0.000 0.875
Ba: 0.500 0.500 0.375
Hg: 0.500 0.500 0.875
Br: 0.000 0.000 0.375

* calculated volume: 167.3 Å³ per cell
* ΔE_f (raw): -1.02 eV/atom
* energy above the lowest structure with this stoichiometry: 0.007 eV per atom
* raw total energy: -2.480 eV per atom


Entry 3:
Compound: NaAg2BRh
Source: the Alexandria database
Functional: PBE
Structure: relaxed

Unit cell a=4.738 b=4.747 c=4.738 alpha=90.00 beta=90.00 gamma=90.00
Site moments in Bohr magnetons follow the coordinates.
Element x y z (fractional)
Rh: 0.000 0.500 0.000  0.50
Na: 0.000 0.000 0.000  0.00
B: 0.500 0.500 0.500  0.06
Ag: 0.500 0.000 0.000  0.03
Ag: 0.000 0.000 0.500  0.00

* calculated volume: 106.6 Å³ per cell
* E_form: 1.98 eV per atom
* raw total energy: -2.229 eV per atom


Entry 4:
Compound: ReHg
Source: the Alexandria database
Functional: PBE
Structure: relaxed

Unit cell a=4.337 b=4.337 c=9.819 alpha=90.00 beta=90.00 gamma=120.00
Element x y z (fractional)
Re: 0.000 0.000 0.750
Re: 0.667 0.333 0.750
Re: 0.333 0.667 0.250
Re: 0.000 0.000 0.250
Hg: 0.667 0.333 0.419
Hg: 0.667 0.333 0.081
Hg: 0.333 0.667 0.581
Hg: 0.333 0.667 0.919

* calculated volume: 159.9 Å³ per cell
* energy above the lowest structure with this stoichiometry: 0.409 eV per atom
* E_form: 0.80 eV per atom
* raw total energy: -5.573 eV per atom


Entry 5:
Compound: YAs2Cl
Source: the Alexandria database
Functional: PBE
Structure: relaxed

Unit cell a=5.408 b=5.616 c=7.020 alpha=130.88 beta=128.25 gamma=87.97
Element x y z (fractional)
As: 0.017 0.983 0.896
As: 0.310 0.691 0.493
Y: 0.725 0.275 0.650
Cl: 0.448 0.551 0.961

* calculated volume: 99.1 Å³ per cell
* ΔE_f (raw): -1.02 eV/atom
* energy above the lowest structure with this stoichiometry: 0.000 eV per atom
* raw total energy: -5.419 eV per atom


Entry 6:
Compound: ZnAgBi2
Source: the Alexandria database
Functional: PBE
Structure: relaxed

Unit cell a=3.409 b=3.409 c=8.497 alpha=90.00 beta=90.00 gamma=90.00
Element x y z (fractional)
Zn: 0.500 0.500 0.500
Ag: 0.500 0.500 0.000
Bi: 0.000 0.000 0.750
Bi: 0.000 0.000 0.250

* calculated volume: 98.7 Å³ per cell
* E_form: 0.16 eV per atom
* raw total energy: -2.810 eV per atom


Entry 7:
Compound: Y2AlSi4Pt3
Source: the Alexandria database
Functional: PBE
Structure: relaxed

Unit cell a=4.069 b=4.069 c=10.519 alpha=90.00 beta=90.00 gamma=90.00
Element x y z (fractional)
Si: 0.000 0.000 0.000
Si: 0.000 0.500 0.355
Si: 0.500 0.000 0.645
Si: 0.500 0.500 0.000
Pt: 0.000 0.500 0.128
Pt: 0.500 0.000 0.872
Pt: 0.000 0.000 0.500
Al: 0.500 0.500 0.500
Y: 0.500 0.000 0.252
Y: 0.000 0.500 0.748

* calculated volume: 174.2 Å³ per cell
* ΔE_f (raw): -1.00 eV/atom
* raw total energy: -6.651 eV per atom


Entry 8:
Compound: Cr2ReCl
Source: the Alexandria database
Functional: PBE
Structure: relaxed

Unit cell a=3.566 b=2.901 c=6.725 alpha=79.45 beta=90.00 gamma=90.00
Element x y z (fractional)
Cl: 0.500 0.573 0.851
Re: 0.000 0.719 0.384
Cr: 0.500 0.350 0.209
Cr: 0.000 0.858 0.056

* calculated volume: 68.4 Å³ per cell
* ΔE_f (raw): 0.49 eV/atom
* energy above the lowest structure with this stoichiometry: 0.321 eV per atom
* raw total energy: -7.897 eV per atom